Entry one
Here is crystalline TcHgPO at its relaxed geometry from OQMD via LeMat-Bulk. Energies are from GGA-PBE.

Calculated values
crystal system	tetragonal
total moment	0.03	μB/atom

Lattice parameters (Å, degrees): 4.1302 4.1302 9.1009 90.00 90.00 90.00
Closest atoms and distances in Å follow each position.
Positions (direct):
Tc (0.2500, 0.2500, 0.0497)  4 O 2.11, 1 P 2.12
Tc (0.7500, 0.7500, 0.9503)  4 O 2.11, 1 P 2.12
Hg (0.2500, 0.7500, 0.5000)  4 P 2.86, 4 Hg 2.92
Hg (0.7500, 0.2500, 0.5000)  4 P 2.86, 4 Hg 2.92
P (0.2500, 0.2500, 0.2828)  1 Tc 2.12
P (0.7500, 0.7500, 0.7172)  1 Tc 2.12
O (0.2500, 0.7500, 0.0000)  4 Tc 2.11
O (0.7500, 0.2500, 0.0000)  4 Tc 2.11

Entry two
Here is crystalline TcHgPO at its relaxed geometry from OQMD via LeMat-Bulk. Energies are from GGA-PBE.

Calculated values
crystal system	tetragonal
total moment	0.08	μB/atom

Lattice parameters (Å, degrees): 4.2356 4.2356 7.0759 90.00 90.00 90.00
Closest atoms and distances in Å follow each position.
Positions (direct):
Tc (0.2500, 0.7500, 0.0000)  4 P 2.33
Tc (0.7500, 0.2500, 0.0000)  4 P 2.33
Hg (0.2500, 0.2500, 0.3659)  4 O 2.32
Hg (0.7500, 0.7500, 0.6341)  4 O 2.32
P (0.2500, 0.2500, 0.8644)  4 Tc 2.33
P (0.7500, 0.7500, 0.1356)  4 Tc 2.33
O (0.2500, 0.7500, 0.5000)  4 Hg 2.32
O (0.7500, 0.2500, 0.5000)  4 Hg 2.32

Bottom line: entry one, by a margin of 82 meV/atom.

Entry one
Here is crystalline TmHgPO at its relaxed geometry from OQMD via LeMat-Bulk. Energies are from GGA-PBE.

Calculated values
crystal system	tetragonal
total moment	0.00	μB/atom

Lattice parameters (Å, degrees): 4.0318 4.0318 8.8709 90.00 90.00 90.00
Closest atoms and distances in Å follow each position.
Positions (direct):
Tm (0.2500, 0.2500, 0.1123)  4 O 2.25
Tm (0.7500, 0.7500, 0.8877)  4 O 2.25
Hg (0.2500, 0.7500, 0.5000)  4 P 2.74, 4 Hg 2.85
Hg (0.7500, 0.2500, 0.5000)  4 P 2.74, 4 Hg 2.85
P (0.2500, 0.2500, 0.7093)  4 Hg 2.74
P (0.7500, 0.7500, 0.2907)  4 Hg 2.74
O (0.2500, 0.7500, 0.0000)  4 Tm 2.25
O (0.7500, 0.2500, 0.0000)  4 Tm 2.25

Entry two
Here is crystalline TmHgPO at its relaxed geometry from OQMD via LeMat-Bulk. Energies are from GGA-PBE.

Calculated values
crystal system	orthorhombic
total moment	0.00	μB/atom

Lattice parameters (Å, degrees): 4.1946 6.8103 5.8826 90.00 90.00 90.00
Closest atoms and distances in Å follow each position.
Positions (direct):
Tm (0.0000, 0.2009, 0.0000)  2 O 2.16
Tm (0.0000, 0.7991, 0.5000)  2 O 2.16
Hg (0.5000, 0.3773, 0.5024)  1 O 2.34, 2 P 2.42
Hg (0.5000, 0.6227, 0.0024)  1 O 2.34, 2 P 2.42
P (0.0000, 0.2000, 0.4998)  2 Hg 2.42
P (0.0000, 0.8000, 0.9998)  2 Hg 2.42
O (0.5000, 0.2786, 0.0005)  2 Tm 2.16, 1 Hg 2.34
O (0.5000, 0.7214, 0.5005)  2 Tm 2.16, 1 Hg 2.34

Bottom line: entry one, by a margin of 195 meV/atom.

Entry one
Here is crystalline TmHgPO at its relaxed geometry from OQMD via LeMat-Bulk. Energies are from GGA-PBE.

Calculated values
crystal system	tetragonal
total moment	0.00	μB/atom

Lattice parameters (Å, degrees): 4.0241 4.0241 4.6669 90.00 90.00 90.00
Closest atoms and distances in Å follow each position.
Positions (direct):
Tm (0.0000, 0.0000, 0.0000)  2 O 2.33
Hg (0.5000, 0.5000, 0.5000)  2 P 2.33
P (0.5000, 0.5000, 0.0000)  2 Hg 2.33
O (0.0000, 0.0000, 0.5000)  2 Tm 2.33

Entry two
Here is crystalline TmHgPO at its relaxed geometry from OQMD via LeMat-Bulk. Energies are from GGA-PBE.

Calculated values
crystal system	orthorhombic
total moment	0.00	μB/atom

Lattice parameters (Å, degrees): 4.0203 6.1622 6.5444 90.00 90.00 90.00
Closest atoms and distances in Å follow each position.
Positions (direct):
Tm (0.0000, 0.0284, 0.0000)  2 O 2.13-2.14
Tm (0.0000, 0.9716, 0.5000)  2 O 2.13-2.14
Hg (0.5000, 0.4349, 0.4145)  2 P 2.47-2.55, 2 O 2.58
Hg (0.5000, 0.5651, 0.9145)  2 P 2.47-2.55, 2 O 2.58
P (0.5000, 0.2086, 0.7402)  2 Hg 2.47-2.55
P (0.5000, 0.7914, 0.2402)  2 Hg 2.47-2.55
O (0.0000, 0.2199, 0.2707)  2 Tm 2.13-2.14
O (0.0000, 0.7801, 0.7707)  2 Tm 2.13-2.14

Bottom line: entry two, by a margin of 152 meV/atom.

Entry one
Here is crystalline YHgPO at its relaxed geometry from OQMD via LeMat-Bulk. Energies are from GGA-PBE.

Calculated values
crystal system	tetragonal
total moment	0.00	μB/atom

Lattice parameters (Å, degrees): 5.7826 5.7826 4.6897 90.00 90.00 90.00
Closest atoms and distances in Å follow each position.
Positions (direct):
Y (0.2500, 0.7500, 0.0000)  2 O 2.34
Y (0.7500, 0.2500, 0.0000)  2 O 2.34
Hg (0.2500, 0.2500, 0.4989)  2 P 2.34-2.35
Hg (0.7500, 0.7500, 0.5011)  2 P 2.34-2.35
P (0.2500, 0.2500, 0.9990)  2 Hg 2.34-2.35
P (0.7500, 0.7500, 0.0010)  2 Hg 2.34-2.35
O (0.2500, 0.7500, 0.5000)  2 Y 2.34
O (0.7500, 0.2500, 0.5000)  2 Y 2.34

Entry two
Here is crystalline YHgPO at its relaxed geometry from OQMD via LeMat-Bulk. Energies are from GGA-PBE.

Calculated values
crystal system	tetragonal
total moment	0.00	μB/atom

Lattice parameters (Å, degrees): 4.0784 4.0784 8.9273 90.00 90.00 90.00
Closest atoms and distances in Å follow each position.
Positions (direct):
Y (0.2500, 0.2500, 0.1161)  4 O 2.29
Y (0.7500, 0.7500, 0.8839)  4 O 2.29
Hg (0.2500, 0.7500, 0.5000)  4 P 2.74, 4 Hg 2.88
Hg (0.7500, 0.2500, 0.5000)  4 P 2.74, 4 Hg 2.88
P (0.2500, 0.2500, 0.7053)  4 Hg 2.74
P (0.7500, 0.7500, 0.2947)  4 Hg 2.74
O (0.2500, 0.7500, 0.0000)  4 Y 2.29
O (0.7500, 0.2500, 0.0000)  4 Y 2.29

Bottom line: entry two, by a margin of 324 meV/atom.

Entry one
Here is crystalline YHgPO at its relaxed geometry from OQMD via LeMat-Bulk. Energies are from GGA-PBE.

Calculated values
crystal system	orthorhombic
total moment	0.00	μB/atom

Lattice parameters (Å, degrees): 4.3663 6.5475 5.9395 90.00 90.00 90.00
Closest atoms and distances in Å follow each position.
Positions (direct):
Y (0.0000, 0.2187, 0.0000)  2 O 2.22
Y (0.0000, 0.7813, 0.5000)  2 O 2.22
Hg (0.5000, 0.3554, 0.5604)  2 O 2.42-2.69, 2 P 2.42
Hg (0.5000, 0.6446, 0.0604)  2 O 2.42-2.69, 2 P 2.42
P (0.0000, 0.2085, 0.4911)  2 Hg 2.42
P (0.0000, 0.7915, 0.9911)  2 Hg 2.42
O (0.5000, 0.2790, 0.0051)  2 Y 2.22, 1 Hg 2.42
O (0.5000, 0.7210, 0.5051)  2 Y 2.22, 1 Hg 2.42

Entry two
Here is crystalline YHgPO at its relaxed geometry from OQMD via LeMat-Bulk. Energies are from GGA-PBE.

Calculated values
crystal system	orthorhombic
total moment	0.00	μB/atom

Lattice parameters (Å, degrees): 4.0723 6.1728 6.6505 90.00 90.00 90.00
Closest atoms and distances in Å follow each position.
Positions (direct):
Y (0.0000, 0.0342, 0.0000)  2 O 2.16-2.18
Y (0.0000, 0.9658, 0.5000)  2 O 2.16-2.18
Hg (0.5000, 0.4358, 0.4172)  2 P 2.48-2.54, 2 O 2.61
Hg (0.5000, 0.5642, 0.9172)  2 P 2.48-2.54, 2 O 2.61
P (0.5000, 0.2128, 0.7378)  2 Hg 2.48-2.54
P (0.5000, 0.7872, 0.2378)  2 Hg 2.48-2.54
O (0.0000, 0.2223, 0.2739)  2 Y 2.16-2.18
O (0.0000, 0.7777, 0.7739)  2 Y 2.16-2.18

Bottom line: entry one, by a margin of 12 meV/atom.